HfFeP2O | PBE+U | optimized geometry

Values from the calculation:
Polymorph energy (0 for the lowest one): 0.00 eV per formula unit
DOS(E_F): 1.5 states/eV/f.u.
Space-group type: P4/mmm, No. 123

a b c (Å): 4.661 4.661 3.597
angles (deg): 90.00 90.00 90.00
Positions (direct):
Hf 0.000 0.000 0.000
Fe 0.500 0.500 0.500
P 0.000 0.500 0.500
P 0.500 0.000 0.500
O 0.500 0.500 0.000